Here is a relaxed SrYCd2 crystal from the Alexandria database. Energies are from PBE-GGA.

Summary:
formation energy from the elements: 0.00 eV per atom
space group: No. 216
E: -9.96 eV per cell
DOS at the Fermi energy: 0.77 states/eV/atom

Structure (POSCAR):
```
SrYCd2
1.0
5.429 0.000 0.000
2.715 4.702 0.000
2.715 1.567 4.433
Cd Sr Y
2 1 1
Direct
0.000 0.000 0.000 Cd
0.250 0.250 0.250 Cd
0.500 0.500 0.500 Sr
0.750 0.750 0.750 Y
```

***

Here is a relaxed Pr4GePd crystal from the Alexandria database. Energies are from PBE-GGA.

Summary:
formation energy from the elements: -0.36 eV per atom
space group: No. 36
E: -62.22 eV per cell
DOS at the Fermi energy: 1.14 states/eV/atom

Structure (POSCAR):
```
Pr4GePd
1.0
5.469 0.000 0.000
0.000 6.373 0.000
-2.735 0.000 10.690
Pd Pr Ge
2 8 2
Direct
0.422 0.329 0.845 Pd
0.578 0.829 0.155 Pd
0.890 0.305 0.780 Pr
0.443 0.836 0.887 Pr
0.110 0.805 0.220 Pr
0.287 0.062 0.575 Pr
0.698 0.077 0.397 Pr
0.302 0.577 0.603 Pr
0.557 0.336 0.113 Pr
0.713 0.562 0.425 Pr
0.842 0.824 0.684 Ge
0.158 0.324 0.316 Ge
```

***

Here is a relaxed ZrMn2P crystal from the Alexandria database. Energies are from PBE-GGA.

Summary:
formation energy from the elements: -0.05 eV per atom
space group: No. 166
E: -32.51 eV per cell
DOS at the Fermi energy: 0.64 states/eV/atom

Structure (POSCAR):
```
ZrMn2P
1.0
6.838 0.009 0.006
6.030 3.225 0.006
6.030 1.515 2.846
Mn Zr P
2 1 1
Direct
0.977 0.977 0.977 Mn
0.523 0.523 0.523 Mn
0.750 0.750 0.750 Zr
0.250 0.250 0.250 P
```

***

Here is a relaxed MgTcAsI2 crystal from the Alexandria database. Energies are from PBE-GGA.

Summary:
space group: No. 123
uncorrected formation energy: 1005 meV per atom
E: -14.68 eV per cell
DOS at the Fermi energy: 0.87 states/eV/atom

Structure (POSCAR):
```
MgTcAsI2
1.0
-1.170 5.562 0.023
-4.862 -1.016 -1.707
-1.804 -0.401 5.375
As Mg Tc I
1 1 1 2
Direct
0.000 0.000 0.000 As
0.000 0.500 0.000 Mg
0.500 0.500 0.500 Tc
0.500 0.000 0.000 I
0.000 0.000 0.500 I
```

***

Here is a relaxed LiHoMg2 crystal from the Alexandria database. Energies are from PBE-GGA.

Summary:
formation energy from the elements: -0.04 eV per atom
space group: No. 123
E: -9.85 eV per cell
excess energy over the best structure of this formula in the dataset: 0.000 eV/atom
DOS at the Fermi energy: 0.95 states/eV/atom

Structure (POSCAR):
```
LiHoMg2
1.0
3.498 0.000 0.000
0.000 3.498 0.000
0.000 0.000 7.828
Mg Ho Li
2 1 1
Direct
0.000 0.000 0.215 Mg
0.000 0.000 0.785 Mg
0.500 0.500 0.500 Ho
0.500 0.500 0.000 Li
```

***

Here is a relaxed Mg7Cd2Sn3 crystal from the Alexandria database. Energies are from PBE-GGA.

Summary:
formation energy from the elements: -0.03 eV per atom
space group: No. 65
E: -25.41 eV per cell
DOS at the Fermi energy: 0.32 states/eV/atom

Structure (POSCAR):
```
Mg7Cd2Sn3
1.0
-1.616 -3.957 1.075
0.929 -1.560 -4.346
12.482 -3.351 6.424
Mg Sn Cd
7 3 2
Direct
0.000 0.000 0.000 Mg
0.000 0.279 0.557 Mg
0.000 0.579 0.157 Mg
0.000 0.721 0.443 Mg
0.500 0.080 0.160 Mg
0.500 0.920 0.840 Mg
0.000 0.421 0.843 Mg
0.500 0.348 0.695 Sn
0.500 0.652 0.305 Sn
0.500 0.500 0.000 Sn
0.000 0.161 0.322 Cd
0.000 0.839 0.678 Cd
```

***

Here is a relaxed HoTiInHg crystal from the Alexandria database. Energies are from PBE-GGA.

Summary:
formation energy from the elements: -0.18 eV per atom
space group: No. 216
E: -16.24 eV per cell
DOS at the Fermi energy: 1.05 states/eV/atom

Structure (POSCAR):
```
HoTiInHg
1.0
-2.311 -4.400 0.888
2.550 -4.331 -0.476
1.189 -2.693 4.101
Ti Ho In Hg
1 1 1 1
Direct
0.250 0.250 0.250 Ti
0.750 0.750 0.750 Ho
0.000 0.000 0.000 In
0.500 0.500 0.500 Hg
```

***

Here is a relaxed Np2BePd9 crystal from the Alexandria database. Energies are from PBE-GGA.

Summary:
formation energy from the elements: -0.34 eV per atom
space group: No. 123
E: -80.38 eV per cell
DOS at the Fermi energy: 2.46 states/eV/atom

Structure (POSCAR):
```
Np2BePd9
1.0
-3.341 -0.874 -2.208
-2.139 -0.549 3.453
-2.968 11.410 -0.023
Np Be Pd
2 1 9
Direct
0.000 0.000 0.681 Np
0.000 0.000 0.319 Np
0.000 0.000 0.000 Be
0.500 0.500 0.675 Pd
0.500 0.000 0.851 Pd
0.000 0.500 0.149 Pd
0.500 0.000 0.500 Pd
0.500 0.500 0.000 Pd
0.000 0.500 0.851 Pd
0.500 0.000 0.149 Pd
0.000 0.500 0.500 Pd
0.500 0.500 0.325 Pd
```

***

Here is a relaxed SmPuCdSb crystal from the Alexandria database. Energies are from PBE-GGA.

Summary:
space group: No. 216
uncorrected formation energy: -408 meV per atom
E: -25.72 eV per cell
DOS at the Fermi energy: 3.08 states/eV/atom

Structure (POSCAR):
```
SmPuCdSb
1.0
5.373 0.000 0.000
2.686 4.653 0.000
2.686 1.551 4.387
Cd Sm Sb Pu
1 1 1 1
Direct
0.750 0.750 0.750 Cd
0.000 0.000 0.000 Sm
0.250 0.250 0.250 Sb
0.500 0.500 0.500 Pu
```

***

Here is a relaxed Rb8Sb3O8 crystal from the Alexandria database. Energies are from PBE-GGA.

Summary:
space group: No. 2
uncorrected formation energy: -1295 meV per atom
E: -84.39 eV per cell
DOS at the Fermi energy: 0.24 states/eV/atom

Structure (POSCAR):
```
Rb8Sb3O8
1.0
5.674 0.430 -1.766
-0.216 9.504 -3.246
-0.306 -1.357 10.874
Rb O Sb
8 8 3
Direct
0.382 0.552 0.658 Rb
0.772 0.174 0.613 Rb
0.618 0.448 0.342 Rb
0.043 0.211 0.050 Rb
0.589 0.954 0.227 Rb
0.411 0.046 0.773 Rb
0.957 0.789 0.950 Rb
0.228 0.826 0.387 Rb
0.083 0.008 0.219 O
0.431 0.265 0.397 O
0.917 0.992 0.781 O
0.757 0.863 0.452 O
0.243 0.137 0.548 O
0.530 0.317 0.040 O
0.470 0.683 0.960 O
0.569 0.735 0.603 O
0.500 0.500 0.000 Sb
0.867 0.803 0.609 Sb
0.133 0.197 0.391 Sb
```

***

Here is a relaxed LaSmGa crystal from the Alexandria database. Energies are from PBE-GGA.

Summary:
formation energy from the elements: -0.41 eV per atom
space group: No. 189
E: -41.72 eV per cell
excess energy over the best structure of this formula in the dataset: 0.000 eV/atom
DOS at the Fermi energy: 1.14 states/eV/atom

Structure (POSCAR):
```
LaSmGa
1.0
-3.082 -0.232 3.387
-2.601 -7.158 -2.856
6.005 0.253 5.481
Sm La Ga
3 3 3
Direct
0.000 0.732 0.732 Sm
0.000 0.000 0.268 Sm
0.000 0.268 0.000 Sm
0.500 0.598 0.000 La
0.500 0.000 0.598 La
0.500 0.402 0.402 La
0.000 0.667 0.333 Ga
0.500 0.000 0.000 Ga
0.000 0.333 0.667 Ga
```

***

Here is a relaxed BaZnAg2Bi crystal from the Alexandria database. Energies are from PBE-GGA.

Summary:
formation energy from the elements: -0.14 eV per atom
space group: No. 123
E: -13.47 eV per cell
DOS at the Fermi energy: 0.51 states/eV/atom

Structure (POSCAR):
```
BaZnAg2Bi
1.0
5.101 0.000 0.000
0.000 5.563 0.000
0.000 0.000 5.101
Bi Ag Zn Ba
1 2 1 1
Direct
0.000 0.500 0.000 Bi
0.000 0.000 0.500 Ag
0.500 0.000 0.000 Ag
0.000 0.000 0.000 Zn
0.500 0.500 0.500 Ba
```

***

Here is a relaxed Np3SeS2 crystal from the Alexandria database. Energies are from PBE-GGA.

Summary:
space group: No. 63
uncorrected formation energy: -902 meV per atom
E: -111.95 eV per cell
DOS at the Fermi energy: 3.48 states/eV/atom

Structure (POSCAR):
```
Np3SeS2
1.0
-3.422 2.135 0.581
0.355 -1.490 -6.725
-5.176 -8.750 1.665
S Np Se
4 6 2
Direct
0.462 0.924 0.750 S
0.000 0.000 0.000 S
0.000 0.000 0.500 S
0.538 0.076 0.250 S
0.652 0.304 0.046 Np
0.916 0.831 0.250 Np
0.652 0.304 0.454 Np
0.348 0.696 0.954 Np
0.084 0.169 0.750 Np
0.348 0.696 0.546 Np
0.747 0.494 0.750 Se
0.253 0.506 0.250 Se
```